No. 1
The following is a PBE calculation of an optimized crystal structure of Ti3GaH, from the Alexandria database.

Lattice parameters (Å, degrees): 2.624 7.527 7.527 40.74 90.00 90.00
Element x y z (fractional)
Ti 0.000 0.000 0.000
Ti 0.500 0.091 0.600
Ti 0.500 0.600 0.091
Ga 0.500 0.173 0.173
H 0.000 0.784 0.784

## Properties
**M_tot**: 0.000 μB/f.u.
**VASP energy**: -5.585 eV per atom
**Space group**: Amm2

=====

No. 2
The following is a PBE calculation of an optimized crystal structure of Ti5Ga2H2, from the Alexandria database.

Lattice parameters (Å, degrees): 5.150 5.150 6.567 94.93 94.93 42.91
Element x y z (fractional)
Ti 0.000 0.000 0.000
Ti 0.141 0.141 0.432
Ti 0.279 0.279 0.850
Ti 0.721 0.721 0.150
Ti 0.859 0.859 0.568
Ga 0.433 0.433 0.281
Ga 0.567 0.567 0.719
H 0.181 0.181 0.125
H 0.819 0.819 0.875

## Properties
**E above lowest polymorph**: 0.0 meV/atom
**M_tot**: 0.000 μB/f.u.
**VASP energy**: -6.194 eV per atom
**Space group**: C2/m

=====

Repeat the second record exactly.
The following is a PBE calculation of an optimized crystal structure of Ti5Ga2H2, from the Alexandria database.

Lattice parameters (Å, degrees): 5.150 5.150 6.567 94.93 94.93 42.91
Element x y z (fractional)
Ti 0.000 0.000 0.000
Ti 0.141 0.141 0.432
Ti 0.279 0.279 0.850
Ti 0.721 0.721 0.150
Ti 0.859 0.859 0.568
Ga 0.433 0.433 0.281
Ga 0.567 0.567 0.719
H 0.181 0.181 0.125
H 0.819 0.819 0.875

## Properties
**E above lowest polymorph**: 0.0 meV/atom
**M_tot**: 0.000 μB/f.u.
**VASP energy**: -6.194 eV per atom
**Space group**: C2/m